[1]
Computed, not measured: a geometry-optimized AcAlSn2 structure at the GGA-PBE level of DFT.

Calculated values
E_form   -0.2834 eV per atom
Distance to the lowest polymorph of the same formula   95 meV per atom
Total moment   0.000 μB per formula unit

The structure in CIF format:
```
data_AcAlSn2
_chemical_formula_sum 'Ac1 Al1 Sn2'
_space_group_name_H-M_alt 'P 4/m m m'
_space_group_IT_number 123
_space_group_name_Hall '-P 4 2'
_cell_length_a 3.9530
_cell_length_b 3.9530
_cell_length_c 7.1410
_cell_angle_alpha 90.00
_cell_angle_beta 90.00
_cell_angle_gamma 90.00
loop_
_atom_site_label
_atom_site_fract_x
_atom_site_fract_y
_atom_site_fract_z
_atom_site_occupancy
Ac1 0.0000 0.0000 0.0000 1
Al1 0.0000 0.0000 0.5000 1
Sn1 0.5000 0.5000 0.2992 1
```


[2]
Computed, not measured: a geometry-optimized Pm3P structure at the GGA-PBE level of DFT.

Calculated values
E_form   -0.4375 eV per atom
Distance to the lowest polymorph of the same formula   157 meV per atom
Total moment   0.000 μB per formula unit

The structure in CIF format:
```
data_Pm3P
_chemical_formula_sum 'Pm3 P1'
_space_group_name_H-M_alt 'P -4 m 2'
_space_group_IT_number 115
_cell_length_a 3.9955
_cell_length_b 3.9955
_cell_length_c 7.8513
_cell_angle_alpha 90.00
_cell_angle_beta 90.00
_cell_angle_gamma 90.00
loop_
_space_group_symop_operation_xyz
'x,y,z'
'y,-x,-z'
'-x,-y,z'
'-y,x,-z'
'-x,y,z'
'-y,-x,-z'
'x,-y,z'
'y,x,-z'
loop_
_atom_site_label
_atom_site_fract_x
_atom_site_fract_y
_atom_site_fract_z
_atom_site_occupancy
Pm1 0.0000 0.0000 0.0000 1
Pm2 0.0000 0.5000 0.6542 1
P1 0.5000 0.5000 0.0000 1
```


[3]
Computed, not measured: a geometry-optimized ReSn structure at the GGA-PBE level of DFT.

Calculated values
E_form   1.4794 eV per atom
Distance to the lowest polymorph of the same formula   1125 meV per atom
Total moment   1.023 μB per formula unit

The structure in CIF format:
```
data_ReSn
_chemical_formula_sum 'Re2 Sn2'
_space_group_name_H-M_alt 'P 63/m m c'
_space_group_IT_number 194
_space_group_name_Hall '-P 6c 2c'
_cell_length_a 4.6400
_cell_length_b 4.6400
_cell_length_c 5.3661
_cell_angle_alpha 90.00
_cell_angle_beta 90.00
_cell_angle_gamma 120.00
loop_
_atom_site_label
_atom_site_fract_x
_atom_site_fract_y
_atom_site_fract_z
_atom_site_occupancy
Re1 0.3333 0.6667 0.2500 1
Sn1 0.3333 0.6667 0.7500 1
```


[4]
Computed, not measured: a geometry-optimized CsK2ZnHg structure at the GGA-PBE level of DFT.

Calculated values
E_form   0.0377 eV per atom
Distance to the lowest polymorph of the same formula   0 meV per atom
Total moment   0.000 μB per formula unit

The structure in CIF format:
```
data_CsK2ZnHg
_chemical_formula_sum 'Cs1 K2 Zn1 Hg1'
_space_group_name_H-M_alt 'P 4/m m m'
_space_group_IT_number 123
_space_group_name_Hall '-P 4 2'
_cell_length_a 6.7876
_cell_length_b 6.7876
_cell_length_c 5.6974
_cell_angle_alpha 90.00
_cell_angle_beta 90.00
_cell_angle_gamma 90.00
loop_
_atom_site_label
_atom_site_fract_x
_atom_site_fract_y
_atom_site_fract_z
_atom_site_occupancy
Cs1 0.0000 0.0000 0.0000 1
K1 0.0000 0.5000 0.5000 1
Zn1 0.5000 0.5000 0.0000 1
Hg1 0.5000 0.5000 0.5000 1
```


[5]
Computed, not measured: a geometry-optimized Li4LaHg8 structure at the GGA-PBE level of DFT.

Calculated values
E_form   -0.3136 eV per atom
Total moment   0.000 μB per formula unit

The structure in CIF format:
```
data_Li4LaHg8
_chemical_formula_sum 'Li8 La2 Hg16'
_space_group_name_H-M_alt 'I 4/m m m'
_space_group_IT_number 139
_space_group_name_Hall '-I 4 2'
_cell_length_a 9.9730
_cell_length_b 9.9730
_cell_length_c 5.5695
_cell_angle_alpha 90.00
_cell_angle_beta 90.00
_cell_angle_gamma 90.00
loop_
_atom_site_label
_atom_site_fract_x
_atom_site_fract_y
_atom_site_fract_z
_atom_site_occupancy
Li1 0.2500 0.2500 0.2500 1
La1 0.0000 0.0000 0.0000 1
Hg1 0.0000 0.2146 0.5000 1
Hg2 0.0000 0.3393 0.0000 1
```


[6]
Computed, not measured: a geometry-optimized NpCrTc2 structure at the GGA-PBE level of DFT.

Calculated values
E_form   0.1546 eV per atom
Distance to the lowest polymorph of the same formula   0 meV per atom
Total moment   3.716 μB per formula unit

The structure in CIF format:
```
data_NpCrTc2
_chemical_formula_sum 'Np1 Cr1 Tc2'
_space_group_name_H-M_alt 'P 4/m m m'
_space_group_IT_number 123
_space_group_name_Hall '-P 4 2'
_cell_length_a 4.5213
_cell_length_b 4.5213
_cell_length_c 3.1529
_cell_angle_alpha 90.00
_cell_angle_beta 90.00
_cell_angle_gamma 90.00
loop_
_atom_site_label
_atom_site_fract_x
_atom_site_fract_y
_atom_site_fract_z
_atom_site_occupancy
Np1 0.0000 0.0000 0.0000 1
Cr1 0.5000 0.5000 0.0000 1
Tc1 0.0000 0.5000 0.5000 1
```


[7]
Computed, not measured: a geometry-optimized Sm3Mg7Rh4 structure at the GGA-PBE level of DFT.

Calculated values
E_form   -0.4642 eV per atom
Total moment   0.000 μB per formula unit

The structure in CIF format:
```
data_Sm3Mg7Rh4
_chemical_formula_sum 'Sm6 Mg14 Rh8'
_space_group_name_H-M_alt 'C 1 2/m 1'
_space_group_IT_number 12
_cell_length_a 16.1140
_cell_length_b 4.2123
_cell_length_c 10.5177
_cell_angle_alpha 90.00
_cell_angle_beta 124.10
_cell_angle_gamma 90.00
loop_
_space_group_symop_operation_xyz
'x,y,z'
'-x,-y,-z'
'-x,y,-z'
'x,-y,z'
'x+1/2,y+1/2,z'
'-x+1/2,-y+1/2,-z'
'-x+1/2,y+1/2,-z'
'x+1/2,-y+1/2,z'
loop_
_atom_site_label
_atom_site_fract_x
_atom_site_fract_y
_atom_site_fract_z
_atom_site_occupancy
Sm1 0.0000 0.0000 0.0000 1
Sm2 0.1993 0.5000 0.7180 1
Mg1 0.0000 0.0000 0.5000 1
Mg2 0.0133 0.5000 0.2883 1
Mg3 0.1693 0.0000 0.4298 1
Mg4 0.1793 0.5000 0.0103 1
Rh1 0.1086 0.0000 0.8101 1
Rh2 0.1661 0.5000 0.2593 1
```


[8]
Computed, not measured: a geometry-optimized ScCdOs structure at the GGA-PBE level of DFT.

Calculated values
E_form   0.1199 eV per atom
Distance to the lowest polymorph of the same formula   143 meV per atom
Total moment   0.000 μB per formula unit

The structure in CIF format:
```
data_ScCdOs
_chemical_formula_sum 'Sc4 Cd4 Os4'
_space_group_name_H-M_alt 'F m m 2'
_space_group_IT_number 42
_space_group_name_Hall 'F 2 -2'
_cell_length_a 3.4296
_cell_length_b 4.7730
_cell_length_c 13.6169
_cell_angle_alpha 90.00
_cell_angle_beta 90.00
_cell_angle_gamma 90.00
loop_
_atom_site_label
_atom_site_fract_x
_atom_site_fract_y
_atom_site_fract_z
_atom_site_occupancy
Sc1 0.0000 0.0000 0.0000 1
Cd1 0.0000 0.0000 0.3104 1
Os1 0.0000 0.0000 0.6414 1
```


[9]
Computed, not measured: a geometry-optimized DyHf3Fe8 structure at the GGA-PBE level of DFT.

Calculated values
E_form   -0.2667 eV per atom
Total moment   12.897 μB per formula unit

The structure in CIF format:
```
data_DyHf3Fe8
_chemical_formula_sum 'Dy3 Hf9 Fe24'
_space_group_name_H-M_alt 'R 3 m'
_space_group_IT_number 160
_space_group_name_Hall 'R 3 -2"'
_cell_length_a 4.9800
_cell_length_b 4.9800
_cell_length_c 24.4738
_cell_angle_alpha 90.00
_cell_angle_beta 90.00
_cell_angle_gamma 120.00
loop_
_atom_site_label
_atom_site_fract_x
_atom_site_fract_y
_atom_site_fract_z
_atom_site_occupancy
Dy1 0.0000 0.0000 0.0000 1
Hf1 0.0000 0.0000 0.1261 1
Hf2 0.0000 0.0000 0.5000 1
Hf3 0.0000 0.0000 0.6236 1
Fe1 0.0000 0.0000 0.3124 1
Fe2 0.0000 0.0000 0.8125 1
Fe3 0.0011 0.5006 0.0643 1
Fe4 0.1677 0.3355 0.8943 1
```


[10]
Computed, not measured: a geometry-optimized SrSbPd2 structure at the GGA-PBE level of DFT.

Calculated values
E_form (uncorrected)   -0.74 eV per atom
Total moment   0.000 μB per formula unit

The structure in CIF format:
```
data_SrSbPd2
_chemical_formula_sum 'Sr3 Sb3 Pd6'
_space_group_name_H-M_alt 'R -3 m'
_space_group_IT_number 166
_space_group_name_Hall '-R 3 2"'
_cell_length_a 4.6372
_cell_length_b 4.6372
_cell_length_c 15.6833
_cell_angle_alpha 90.00
_cell_angle_beta 90.00
_cell_angle_gamma 120.00
loop_
_atom_site_label
_atom_site_fract_x
_atom_site_fract_y
_atom_site_fract_z
_atom_site_occupancy
Sr1 0.0000 0.0000 0.0000 1
Sb1 0.0000 0.0000 0.5000 1
Pd1 0.0000 0.0000 0.1996 1
```